Entry 1:
Density functional theory data (GGA-PBE) for a relaxed structure of LiSm3Tc.

calculated formation energy = 202 meV/atom
space-group type = Pm-3m (221)
total magnetic moment = 0.0 μB per formula unit
crystal system = cubic

a = 5.449 Å, b = 5.449 Å, c = 5.449 Å
α = 90.00°, β = 90.00°, γ = 90.00°
Sites, in units of the cell vectors:
Li 0.000 0.000 0.000
Sm 0.000 0.500 0.500
Sm 0.500 0.000 0.500
Sm 0.500 0.500 0.000
Tc 0.500 0.500 0.500

Entry 2:
Density functional theory data (GGA-PBE) for a relaxed structure of TbAg4Pb.

calculated formation energy = -144 meV/atom
space-group type = P6/mmm (191)
total magnetic moment = 0.0 μB per formula unit
crystal system = hexagonal
relative energy among the computed polymorphs = 5 meV per atom

a = 4.900 Å, b = 4.900 Å, c = 6.364 Å
α = 90.00°, β = 90.00°, γ = 120.00°
Sites, in units of the cell vectors:
Tb 0.000 0.000 0.000
Ag 0.333 0.667 0.240
Ag 0.333 0.667 0.760
Ag 0.667 0.333 0.240
Ag 0.667 0.333 0.760
Pb 0.000 0.000 0.500

Entry 3:
Density functional theory data (GGA-PBE) for a relaxed structure of BaEuAu2.

calculated formation energy = -734 meV/atom
space-group type = P4/mmm (123)
total magnetic moment = 7.2 μB per formula unit
crystal system = tetragonal

a = 3.902 Å, b = 3.902 Å, c = 7.707 Å
α = 90.00°, β = 90.00°, γ = 90.00°
Sites, in units of the cell vectors:
Ba 0.000 0.000 0.000
Eu 0.000 0.000 0.500
Au 0.500 0.500 0.284
Au 0.500 0.500 0.716